{"formula": "Mn2SeCl", "functional": "PBEsol", "state": "relaxed", "raw_formation_energy_ev_per_atom": 0.077, "energy_ha_per_atom": -0.23034, "relative_energy_mev_per_atom": 21, "cell": [[4.5830, 0.0000, 0.0000], [2.2915, 3.9690, 0.0000], [2.2915, 1.3230, 3.7420]], "species": ["Mn", "Mn", "Se", "Cl"], "frac_coords": [[0.2500, 0.2500, 0.2500], [0.7500, 0.7500, 0.7500], [0.0000, 0.0000, 0.0000], [0.5000, 0.5000, 0.5000]]}

=====

{"formula": "Rb2SrBeCo", "functional": "PBEsol", "state": "relaxed", "energy_ha_per_atom": -0.05817, "cell": [[4.7520, 0.0000, 0.0000], [0.0000, 7.0178, 0.0000], [0.0000, 0.0000, 7.0178]], "species": ["Sr", "Co", "Rb", "Rb", "Be"], "frac_coords": [[0.0000, 0.0000, 0.0000], [0.5000, 0.0000, 0.0000], [0.0000, 0.0000, 0.5000], [0.0000, 0.5000, 0.0000], [0.5000, 0.5000, 0.5000]]}

=====

{"formula": "BaSc2Co", "functional": "PBEsol", "state": "relaxed", "energy_ha_per_atom": -0.20555, "relative_energy_mev_per_atom": 0, "cell": [[-1.2960, 0.4752, -2.8754], [3.0055, -2.3398, -1.7413], [-5.2330, -5.3834, 3.2379]], "species": ["Ba", "Co", "Sc", "Sc"], "frac_coords": [[0.5788, 0.5788, 0.1577], [0.2701, 0.7701, 0.5402], [0.8949, 0.8949, 0.7898], [0.7562, 0.2562, 0.5124]]}

=====

{"formula": "CaSc2Ru", "functional": "PBEsol", "state": "relaxed", "energy_ha_per_atom": -0.22738, "relative_energy_mev_per_atom": 446, "cell": [[-3.4490, 2.6869, 2.0999], [-4.2462, 0.6801, -2.2431], [-4.0142, -2.1148, 1.7141]], "species": ["Sc", "Sc", "Ru", "Ca"], "frac_coords": [[0.0000, 0.0000, 0.0000], [0.2500, 0.2500, 0.2500], [0.7500, 0.7500, 0.7500], [0.5000, 0.5000, 0.5000]]}

=====

{"formula": "U2Co3Si5", "functional": "PBEsol", "state": "relaxed", "raw_formation_energy_ev_per_atom": -0.598, "energy_ha_per_atom": -0.30222, "cell": [[5.5072, 0.0000, 0.0000], [2.7536, 7.2173, -0.0017], [2.7536, 1.0021, 7.1474]], "species": ["U", "U", "U", "U", "Co", "Co", "Co", "Co", "Co", "Co", "Si", "Si", "Si", "Si", "Si", "Si", "Si", "Si", "Si", "Si"], "frac_coords": [[0.3640, 0.8690, 0.4030], [0.6360, 0.1310, 0.5970], [0.1360, 0.5970, 0.1310], [0.8640, 0.4030, 0.8690], [0.2500, 0.0000, 0.0000], [0.8612, 0.7536, 0.5241], [0.3612, 0.5241, 0.7536], [0.6388, 0.4759, 0.2464], [0.7500, 0.0000, 0.0000], [0.1388, 0.2464, 0.4759], [0.1021, 0.0519, 0.7439], [0.8979, 0.9481, 0.2561], [0.3979, 0.2561, 0.9481], [0.6021, 0.7439, 0.0519], [0.5216, 0.2284, 0.2284], [0.9784, 0.7716, 0.7716], [0.4784, 0.7716, 0.7716], [0.2500, 0.5000, 0.5000], [0.7500, 0.5000, 0.5000], [0.0216, 0.2284, 0.2284]]}

=====

{"formula": "NbSiPd3", "functional": "PBEsol", "state": "relaxed", "raw_formation_energy_ev_per_atom": 0.281, "energy_ha_per_atom": -0.24282, "cell": [[-1.7157, 3.3909, -2.2567], [-2.2861, 1.2250, 3.5788], [3.3712, 2.5565, 1.2784]], "species": ["Nb", "Si", "Pd", "Pd", "Pd"], "frac_coords": [[0.5000, 0.5000, 0.5000], [0.0000, 0.0000, 0.0000], [0.0000, 0.5000, 0.0000], [0.0000, 0.0000, 0.5000], [0.5000, 0.0000, 0.0000]]}

=====

{"formula": "InMoNF2", "functional": "PBEsol", "state": "relaxed", "raw_formation_energy_ev_per_atom": -1.011, "energy_ha_per_atom": -0.23656, "relative_energy_mev_per_atom": 0, "cell": [[-2.5055, 0.9006, -2.8235], [-3.1119, -1.9454, 2.1409], [-0.9186, 3.6463, 1.9782]], "species": ["N", "Mo", "F", "F", "In"], "frac_coords": [[0.5000, 0.0000, 0.0000], [0.0000, 0.0000, 0.0000], [0.0000, 0.0000, 0.5000], [0.0000, 0.5000, 0.0000], [0.5000, 0.5000, 0.5000]]}

=====

{"formula": "Pr2CdPd2", "functional": "PBEsol", "state": "relaxed", "energy_ha_per_atom": -0.19827, "cell": [[-3.7462, 0.3786, 0.9903], [-1.9743, -4.9330, -5.5827], [0.7117, -5.8739, 4.9386]], "species": ["Pr", "Pr", "Pr", "Pr", "Cd", "Cd", "Pd", "Pd", "Pd", "Pd"], "frac_coords": [[0.5000, 0.3256, 0.8256], [0.5000, 0.8256, 0.6744], [0.5000, 0.1744, 0.3256], [0.5000, 0.6744, 0.1744], [0.0000, 0.0000, 0.0000], [0.0000, 0.5000, 0.5000], [0.0000, 0.3729, 0.1271], [0.0000, 0.8729, 0.3729], [0.0000, 0.1271, 0.6271], [0.0000, 0.6271, 0.8729]]}

=====

{"formula": "MgBiAs2Br", "functional": "PBEsol", "state": "relaxed", "raw_formation_energy_ev_per_atom": 0.585, "energy_ha_per_atom": -0.11142, "cell": [[5.4106, 0.0000, 0.0000], [0.0000, 5.4106, 0.0000], [0.0000, 0.0000, 5.5106]], "species": ["Mg", "As", "As", "Bi", "Br"], "frac_coords": [[0.5000, 0.5000, 0.5000], [0.0000, 0.5000, 0.0000], [0.5000, 0.0000, 0.0000], [0.0000, 0.0000, 0.0000], [0.0000, 0.0000, 0.5000]]}

=====

{"formula": "GaTcSe2", "functional": "PBEsol", "state": "relaxed", "raw_formation_energy_ev_per_atom": 0.115, "energy_ha_per_atom": -0.20071, "cell": [[-0.0376, -0.1112, 4.4960], [2.2248, -3.2389, 2.1880], [3.7307, 0.9974, 2.3054]], "species": ["Ga", "Tc", "Se", "Se"], "frac_coords": [[0.0000, 0.0000, 0.0000], [0.5000, 0.5000, 0.5000], [0.2500, 0.2500, 0.2500], [0.7500, 0.7500, 0.7500]]}

=====

{"formula": "CaSc3Al", "functional": "PBEsol", "state": "relaxed", "energy_ha_per_atom": -0.18010, "cell": [[-2.2552, 1.3330, 4.5475], [-4.5974, 0.6057, -2.4575], [-1.1490, -5.0398, 0.9074]], "species": ["Sc", "Sc", "Sc", "Ca", "Al"], "frac_coords": [[0.0000, 0.5000, 0.0000], [0.0000, 0.0000, 0.5000], [0.5000, 0.0000, 0.0000], [0.5000, 0.5000, 0.5000], [0.0000, 0.0000, 0.0000]]}

=====

{"formula": "BaCaCu2Ge", "functional": "PBEsol", "state": "relaxed", "energy_ha_per_atom": -0.11757, "cell": [[-1.0440, -0.7260, 4.5392], [2.8085, -3.7858, 0.0404], [4.5150, 3.3663, 1.5769]], "species": ["Ge", "Ca", "Ba", "Cu", "Cu"], "frac_coords": [[0.0000, 0.0000, 0.0000], [0.5000, 0.5000, 0.5000], [0.0000, 0.0000, 0.5000], [0.0000, 0.5000, 0.0000], [0.5000, 0.0000, 0.0000]]}

=====

{"formula": "Sr3LaMn4O12", "functional": "PBEsol", "state": "relaxed", "raw_formation_energy_ev_per_atom": -2.409, "energy_ha_per_atom": -0.29599, "cell": [[5.3803, 0.0000, 0.0245], [0.0000, 5.4180, 0.0000], [-0.0438, 0.0000, 7.5797]], "species": ["Sr", "Sr", "Sr", "La", "Mn", "Mn", "Mn", "Mn", "O", "O", "O", "O", "O", "O", "O", "O", "O", "O", "O", "O"], "frac_coords": [[0.5000, 0.0003, 0.5000], [0.0000, 0.4992, 0.0000], [0.5000, 0.0046, 0.0000], [0.0000, 0.4967, 0.5000], [0.0001, 0.9994, 0.7515], [0.4999, 0.5003, 0.2484], [0.9999, 0.9994, 0.2485], [0.5001, 0.5003, 0.7516], [0.2457, 0.2543, 0.7631], [0.7528, 0.7473, 0.2741], [0.2472, 0.7473, 0.7259], [0.7543, 0.2543, 0.2369], [0.0000, 0.9646, 0.0000], [0.5000, 0.4666, 0.5000], [0.7500, 0.2499, 0.7634], [0.2429, 0.7430, 0.2742], [0.0000, 0.0409, 0.5000], [0.5000, 0.5388, 0.0000], [0.7571, 0.7430, 0.7258], [0.2500, 0.2499, 0.2366]]}

=====

{"formula": "Mg2TaSi", "functional": "PBEsol", "state": "relaxed", "raw_formation_energy_ev_per_atom": 0.200, "energy_ha_per_atom": -0.19230, "cell": [[-0.3688, 2.6395, -0.9892], [0.1584, -0.9758, -2.6654], [-8.6449, -1.2314, -0.0629]], "species": ["Mg", "Mg", "Si", "Ta"], "frac_coords": [[0.0000, 0.0000, 0.2610], [0.0000, 0.0000, 0.7390], [0.5000, 0.5000, 0.5000], [0.5000, 0.5000, 0.0000]]}

=====

{"formula": "Tl3BH", "functional": "PBEsol", "state": "relaxed", "energy_ha_per_atom": -0.09631, "cell": [[4.6801, 0.0000, 0.0000], [0.0000, 4.6801, 0.0000], [0.0000, 0.0000, 4.6801]], "species": ["H", "Tl", "Tl", "Tl", "B"], "frac_coords": [[0.0000, 0.0000, 0.0000], [0.0000, 0.5000, 0.0000], [0.0000, 0.0000, 0.5000], [0.5000, 0.0000, 0.0000], [0.5000, 0.5000, 0.5000]]}

=====

{"formula": "Na2Mg", "functional": "PBEsol", "state": "relaxed", "energy_ha_per_atom": -0.04491, "cell": [[5.4315, 0.0000, 0.0000], [2.7158, 4.7038, 0.0000], [2.7158, 1.5679, 4.4348]], "species": ["Na", "Na", "Mg"], "frac_coords": [[0.7500, 0.7500, 0.7500], [0.2500, 0.2500, 0.2500], [0.0000, 0.0000, 0.0000]]}

=====

{"formula": "KBPd3", "functional": "PBEsol", "state": "relaxed", "energy_ha_per_atom": -0.10340, "cell": [[-3.6997, -3.0443, 0.1055], [0.7185, -0.7107, 4.6846], [-2.9602, 3.6323, 1.0051]], "species": ["K", "B", "Pd", "Pd", "Pd"], "frac_coords": [[0.0000, 0.0000, 0.0000], [0.5000, 0.5000, 0.5000], [0.0000, 0.5000, 0.0000], [0.0000, 0.0000, 0.5000], [0.5000, 0.0000, 0.0000]]}

=====

{"formula": "HOsPt2", "functional": "PBEsol", "state": "relaxed", "energy_ha_per_atom": -0.23681, "cell": [[4.2166, 0.0000, 0.0000], [2.1083, 3.6517, 0.0000], [2.1083, 1.2172, 3.4429]], "species": ["H", "Os", "Pt", "Pt"], "frac_coords": [[0.0000, 0.0000, 0.0000], [0.5000, 0.5000, 0.5000], [0.2500, 0.2500, 0.2500], [0.7500, 0.7500, 0.7500]]}

=====

{"formula": "AlCr3B4", "functional": "PBEsol", "state": "relaxed", "energy_ha_per_atom": -0.30736, "cell": [[-0.6673, 2.6617, -0.9389], [-1.8945, -1.1441, -1.8971], [-5.8180, 0.4872, 5.5162]], "species": ["Cr", "Cr", "Cr", "B", "B", "B", "B", "Al"], "frac_coords": [[0.0000, 0.0000, 0.7025], [0.0000, 0.0000, 0.2975], [0.0000, 0.5000, 0.0000], [0.5000, 0.0000, 0.1078], [0.5000, 0.5000, 0.2233], [0.5000, 0.0000, 0.8922], [0.5000, 0.5000, 0.7767], [0.5000, 0.5000, 0.5000]]}

=====

{"formula": "Hf3GePt", "functional": "PBEsol", "state": "relaxed", "energy_ha_per_atom": -0.31061, "cell": [[4.9688, 0.0000, 0.0000], [0.0000, 4.9688, 0.0000], [0.0000, 0.0000, 4.9688]], "species": ["Ge", "Hf", "Hf", "Hf", "Pt"], "frac_coords": [[0.5000, 0.5000, 0.5000], [0.0000, 0.5000, 0.0000], [0.0000, 0.0000, 0.5000], [0.5000, 0.0000, 0.0000], [0.0000, 0.0000, 0.0000]]}